A geometry-optimized Li2TbAsSe4 structure. Source: Alexandria, functional PBE-GGA.

Lattice parameters (Å, degrees): 3.988 6.845 6.922 70.49 90.00 90.00
Fractional positions:
Li (0.000, 0.000, 0.000)
Se (0.000, 0.745, 0.765)
Se (0.000, 0.255, 0.235)
Tb (0.000, 0.500, 0.500)
Li (0.500, 0.000, 0.500)
As (0.500, 0.500, 0.000)
Se (0.500, 0.752, 0.237)
Se (0.500, 0.248, 0.763)

Summary:
* space-group type: P2/m, No. 10
* total moment: 0.00 μB per formula unit
* ΔE_f (raw): -1.09 eV/atom
* ρ: 5.25 g/cm3
* volume: 178.1 Å³/cell



A geometry-optimized Sc2InRh structure. Source: Alexandria, functional PBE-GGA.

Lattice parameters (Å, degrees): 5.922 5.922 4.790 66.09 66.09 32.05
Fractional positions:
In (0.467, 0.467, 0.533)
Sc (0.039, 0.039, 0.961)
Sc (0.248, 0.248, 0.252)
Rh (0.745, 0.745, 0.755)

Summary:
* space-group type: Imm2, No. 44
* total moment: 0.00 μB per formula unit
* formation energy: -0.564 eV/atom
* ρ: 6.32 g/cm3
* volume: 80.8 Å³/cell